ScAs2Pd2: optimized geometry, PBE.

Results
Its density of states at the Fermi level is 0.53 states/eV per atom. The total DFT energy (no corrections) is -5.7293 eV/atom. Its crystal system is tetragonal. Its energy relative to the elements is -0.526 eV/atom.

a b c (Å): 7.3760 7.3760 3.2298
angles (deg): 90.00 90.00 90.00
With the nearest neighbours (Å) after each atom.
Space group P4/mbm (No. 127)
Asymmetric unit:
1 Sc 0.0000 0.0000 0.0000  4 As 2.78
2 As 0.1565 0.3435 0.0000  6 Pd 2.61-2.76, 2 Sc 2.78
3 Pd 0.1466 0.6466 0.5000  6 As 2.61-2.76


ScAs3Pd: optimized geometry, PBE.

Results
Its density of states at the Fermi level is 0.52 states/eV per atom. The total DFT energy (no corrections) is -4.6488 eV/atom. The distance to the lowest polymorph of the same formula is 1.398 eV/f.u. Its crystal system is cubic. Its energy relative to the elements is 0.446 eV/atom.

a b c (Å): 5.0186 5.0186 5.0186
angles (deg): 90.00 90.00 90.00
With the nearest neighbours (Å) after each atom.
Space group Pm-3m (No. 221)
Asymmetric unit:
1 Sc 0.0000 0.0000 0.0000  6 As 2.51
2 As 0.0000 0.0000 0.5000  2 Sc 2.51
3 Pd 0.5000 0.5000 0.5000  12 As 3.55


ScAsPd2: optimized geometry, PBE.

Results
Its density of states at the Fermi level is 0.42 states/eV per atom. The total DFT energy (no corrections) is -6.1055 eV/atom. Its crystal system is tetragonal. Its energy relative to the elements is -0.764 eV/atom.

a b c (Å): 4.0400 4.0400 4.0805
angles (deg): 90.00 90.00 90.00
With the nearest neighbours (Å) after each atom.
Space group P4/mmm (No. 123)
Asymmetric unit:
1 Sc 0.0000 0.0000 0.0000  4 As 2.86, 8 Pd 2.87
2 As 0.5000 0.5000 0.0000  4 Sc 2.86, 8 Pd 2.87
3 Pd 0.0000 0.5000 0.5000  4 Pd 2.86, 4 As 2.87, 4 Sc 2.87


ScAsPd4: optimized geometry, PBE.

Results
Its density of states at the Fermi level is 0.58 states/eV per atom. The total DFT energy (no corrections) is -5.9283 eV/atom. Its crystal system is monoclinic. Its energy relative to the elements is -0.636 eV/atom.

a b c (Å): 5.3285 7.7341 5.1575
angles (deg): 90.00 113.48 90.00
With the nearest neighbours (Å) after each atom.
Space group P2_1/c (No. 14)
Asymmetric unit:
1 Sc 0.0000 0.0000 0.0000  6 Pd 2.74-2.77, 2 As 2.88
2 As 0.5000 0.0000 0.5000  6 Pd 2.51-2.63
3 Pd 0.1302 0.1565 0.5916  1 As 2.51, 2 Sc 2.74-2.75, 1 Pd 2.76
4 Pd 0.3868 0.6730 0.3637  2 As 2.56-2.63, 1 Sc 2.77, 4 Pd 2.82-2.84


ScAsPd3: optimized geometry, PBE.

Results
Its density of states at the Fermi level is 0.42 states/eV per atom. The total DFT energy (no corrections) is -5.5754 eV/atom. The distance to the lowest polymorph of the same formula is 0.000 eV/f.u. Its crystal system is cubic. Its energy relative to the elements is -0.263 eV/atom.

a b c (Å): 4.6520 4.6520 4.6520
angles (deg): 90.00 90.00 90.00
With the nearest neighbours (Å) after each atom.
Space group Pm-3m (No. 221)
Asymmetric unit:
1 Sc 0.0000 0.0000 0.0000  12 Pd 3.29
2 As 0.5000 0.5000 0.5000  6 Pd 2.33
3 Pd 0.0000 0.5000 0.5000  2 As 2.33


ScAs2Pd2: optimized geometry, PBE.

Results
Its density of states at the Fermi level is 0.48 states/eV per atom. The total DFT energy (no corrections) is -5.6844 eV/atom. Its crystal system is tetragonal. Its energy relative to the elements is -0.481 eV/atom.

a b c (Å): 7.3445 7.3445 3.2867
angles (deg): 90.00 90.00 90.00
With the nearest neighbours (Å) after each atom.
Space group P4/mbm (No. 127)
Asymmetric unit:
1 Sc 0.0000 0.0000 0.0000  4 Pd 2.88, 8 As 3.16
2 As 0.1811 0.3189 0.5000  6 Pd 2.57-2.84
3 Pd 0.1292 0.6292 0.0000  6 As 2.57-2.84, 1 Pd 2.68


ScAsPd3: optimized geometry, PBE.

Results
Its density of states at the Fermi level is 0.53 states/eV per atom. The total DFT energy (no corrections) is -4.8516 eV/atom. The distance to the lowest polymorph of the same formula is 3.619 eV/f.u. Its crystal system is cubic. Its energy relative to the elements is 0.460 eV/atom.

a b c (Å): 4.7537 4.7537 4.7537
angles (deg): 90.00 90.00 90.00
With the nearest neighbours (Å) after each atom.
Space group Pm-3m (No. 221)
Asymmetric unit:
1 Sc 0.0000 0.0000 0.0000  6 Pd 2.38
2 As 0.5000 0.5000 0.5000  12 Pd 3.36
3 Pd 0.0000 0.0000 0.5000  2 Sc 2.38


ScAs2Pd: optimized geometry, PBE.

Results
Its density of states at the Fermi level is 0.63 states/eV per atom. The total DFT energy (no corrections) is -5.7266 eV/atom. Its crystal system is tetragonal. Its energy relative to the elements is -0.521 eV/atom.

a b c (Å): 4.3381 4.3381 17.0327
angles (deg): 90.00 90.00 90.00
With the nearest neighbours (Å) after each atom.
Space group I-42d (No. 122)
Asymmetric unit:
1 Sc 0.0000 0.0000 0.0000  4 As 2.68
2 As 0.2178 0.2500 0.6250  2 Pd 2.57, 2 Sc 2.68, 2 As 2.88
3 Pd 0.0000 0.0000 0.5000  4 As 2.57


ScAsPd2: optimized geometry, PBE.

Results
Its density of states at the Fermi level is 0.52 states/eV per atom. The total DFT energy (no corrections) is -5.9789 eV/atom. Its crystal system is tetragonal. Its energy relative to the elements is -0.637 eV/atom.

a b c (Å): 3.9781 3.9781 18.1938
angles (deg): 90.00 90.00 90.00
With the nearest neighbours (Å) after each atom.
Space group I-42d (No. 122)
Asymmetric unit:
1 Sc 0.0000 0.0000 0.0000  4 Pd 2.69, 4 As 2.81
2 As 0.0000 0.0000 0.5000  4 Pd 2.66, 4 Sc 2.81
3 Pd 0.2372 0.2500 0.6250  2 As 2.66, 2 Sc 2.69, 4 Pd 2.74-2.89


ScAsPdSe2: optimized geometry, PBE.

Results
Its density of states at the Fermi level is 0.66 states/eV per atom. The total DFT energy (no corrections) is -4.6896 eV/atom. The distance to the lowest polymorph of the same formula is 0.000 eV/f.u. Its crystal system is tetragonal.

a b c (Å): 4.9854 4.9854 4.7373
angles (deg): 90.00 90.00 90.00
With the nearest neighbours (Å) after each atom.
Space group P4/mmm (No. 123)
Asymmetric unit:
1 Sc 0.0000 0.0000 0.0000  8 Se 3.44, 4 As 3.53
2 As 0.5000 0.5000 0.0000  2 Pd 2.37
3 Pd 0.5000 0.5000 0.5000  2 As 2.37, 4 Se 2.49
4 Se 0.0000 0.5000 0.5000  2 Pd 2.49


ScAsPdSe2: optimized geometry, PBE.

Results
Its density of states at the Fermi level is 1.03 states/eV per atom. The total DFT energy (no corrections) is -4.5023 eV/atom. The distance to the lowest polymorph of the same formula is 0.936 eV/f.u. Its crystal system is tetragonal.

a b c (Å): 5.0453 5.0453 5.1353
angles (deg): 90.00 90.00 90.00
With the nearest neighbours (Å) after each atom.
Space group P4/mmm (No. 123)
Asymmetric unit:
1 Sc 0.0000 0.0000 0.0000  4 Se 2.52, 2 As 2.57
2 As 0.0000 0.0000 0.5000  2 Sc 2.57
3 Pd 0.5000 0.5000 0.5000  4 As 3.57, 8 Se 3.60
4 Se 0.0000 0.5000 0.0000  2 Sc 2.52


Sc6As2PdSe3: optimized geometry, PBE.

Results
Its density of states at the Fermi level is 0.54 states/eV per atom. The total DFT energy (no corrections) is -6.6329 eV/atom. Its crystal system is monoclinic.

a b c (Å): 16.9677 3.8508 7.7983
angles (deg): 90.00 103.98 90.00
With the nearest neighbours (Å) after each atom.
Space group C2/m (No. 12)
Asymmetric unit:
1 Sc 0.0012 0.0000 0.2457  1 As 2.70, 2 Pd 2.71, 3 Se 2.77-2.78
2 Sc 0.1670 0.5000 0.0896  2 As 2.70, 3 Se 2.72-2.79, 1 Pd 2.75
3 Sc 0.1705 0.5000 0.5759  3 As 2.70, 3 Se 2.78-2.81
4 As 0.1655 0.0000 0.3313  6 Sc 2.70
5 Pd 0.0000 0.5000 0.0000  6 Sc 2.71-2.75
6 Se 0.0000 0.5000 0.5000  6 Sc 2.77-2.81
7 Se 0.1675 0.0000 0.8318  6 Sc 2.72-2.79


ScSnAsPd2: optimized geometry, PBE.

Results
Its density of states at the Fermi level is 0.42 states/eV per atom. The total DFT energy (no corrections) is -4.8825 eV/atom. Its crystal system is tetragonal. Its energy relative to the elements is 0.191 eV/atom.

a b c (Å): 4.8708 4.8708 5.0798
angles (deg): 90.00 90.00 90.00
With the nearest neighbours (Å) after each atom.
Space group P4/mmm (No. 123)
Asymmetric unit:
1 Sc 0.0000 0.0000 0.0000  4 Pd 2.44, 2 As 2.54
2 Sn 0.5000 0.5000 0.5000  4 As 3.44, 8 Pd 3.52
3 As 0.0000 0.0000 0.5000  2 Sc 2.54
4 Pd 0.0000 0.5000 0.0000  2 Sc 2.44